A relaxed structure of CeLu2Si. Source: the Alexandria database, functional PBE.

a b c (Å): 4.609 4.609 4.442
angles (deg): 90.00 90.00 90.00
Space group P4/mmm (No. 123)
Inequivalent atoms, fractional coordinates:
Ce (0.000, 0.000, 0.000)
Lu (0.000, 0.500, 0.500)
Si (0.500, 0.500, 0.000)

total moment = 0.00 μB/f.u.
volume = 94.3 Å³ per cell
formation energy (no corrections) = -0.25 eV per atom
density of states at the Fermi level = 5.6 states/eV/cell